Entry 1:
First-principles (PBE) data for crystalline Tb2Pr6Dy3Er at its relaxed geometry, as listed in the Alexandria database.

Computed properties:
- E: -4.6812 eV per atom
- ΔE_f: 11 meV/atom
- SG: C2/m, No. 12
- Fermi-level density of states: 1.111 states/eV/atom

```
12
Lattice="3.154 -5.463 0.000 3.154 5.463 0.000 -2.097 0.000 11.707" Properties=species:S:1:pos:R:3 pbc="T T T"
Tb 3.154 3.642 0.000
Tb 3.154 -3.642 0.000
Pr 0.004 1.819 8.782
Pr 1.056 0.000 2.928
Pr 0.004 -1.819 8.782
Pr 4.207 1.819 2.925
Pr 3.155 0.000 8.779
Pr 4.207 -1.819 2.925
Dy -1.048 0.000 5.853
Dy 2.106 1.821 5.853
Dy 2.106 -1.821 5.853
Er 3.154 0.000 0.000
```

***

Entry 2:
First-principles (PBE) data for crystalline SbCl at its relaxed geometry, as listed in the Alexandria database.

Computed properties:
- E: -3.0398 eV per atom
- SG: I-43m, No. 217
- Fermi-level density of states: 0.930 states/eV/atom
- Polymorph energy (0 for the lowest one): 40.50 kJ/mol of atoms
- Uncorrected formation energy: -0.06 eV/atom

```
8
Lattice="-4.564 4.564 4.564 4.564 -4.564 4.564 4.564 4.564 -4.564" Properties=species:S:1:pos:R:3 pbc="T T T"
Sb 1.063 1.063 -1.063
Sb 1.063 -1.063 1.063
Sb -1.063 1.063 1.063
Sb 3.501 3.501 3.501
Cl 2.546 2.546 -2.546
Cl 2.546 -2.546 2.546
Cl 2.018 2.018 2.018
Cl -2.546 2.546 2.546
```

***

Entry 3:
First-principles (PBE) data for crystalline Ce2ZrNpAs4 at its relaxed geometry, as listed in the Alexandria database.

Computed properties:
- E: -7.6731 eV per atom
- ΔE_f: -1179 meV/atom
- SG: P2/m, No. 10
- Fermi-level density of states: 1.974 states/eV/atom

```
8
Lattice="7.087 0.000 0.000 0.000 4.095 0.000 -2.343 0.000 6.690" Properties=species:S:1:pos:R:3 pbc="T T T"
Ce 0.000 0.000 0.000
Ce -1.171 2.047 3.345
Zr 2.372 0.000 3.345
Np 3.544 2.047 0.000
As 0.113 0.000 4.996
As 1.273 2.047 1.751
As 3.472 2.047 4.940
As 4.632 0.000 1.695
```